VASP calculation (PBE) on a geometry-optimized Al7Co3 structure.

abc: 7.248 7.248 7.248
angles: 109.47 109.47 109.47
Sites, in units of the cell vectors:
Al 0.000 0.000 0.314
Al 0.000 0.000 0.686
Al 0.000 0.314 0.000
Al 0.000 0.686 0.000
Al 0.250 0.500 0.750
Al 0.250 0.750 0.500
Al 0.314 0.000 0.000
Al 0.314 0.314 0.314
Al 0.500 0.250 0.750
Al 0.500 0.750 0.250
Al 0.686 0.000 0.000
Al 0.686 0.686 0.686
Al 0.750 0.250 0.500
Al 0.750 0.500 0.250
Co 0.000 0.351 0.351
Co 0.000 0.649 0.649
Co 0.351 0.000 0.351
Co 0.351 0.351 0.000
Co 0.649 0.000 0.649
Co 0.649 0.649 0.000

Results
As for the space group: No. 229. The energy of formation from the pure elements comes out at -0.34 eV/atom. The value obtained for the total DFT energy (no corrections) is -5.0909 eV per atom. For the density, the calculation gives 4143 kg/m3.

***

VASP calculation (PBE) on a geometry-optimized Sr2CuS structure.

abc: 7.859 7.859 8.568
angles: 90.00 90.00 90.00
Sites, in units of the cell vectors:
Sr 0.228 0.750 0.125
Sr 0.250 0.228 0.875
Sr 0.250 0.272 0.375
Sr 0.272 0.750 0.625
Sr 0.728 0.250 0.625
Sr 0.750 0.728 0.375
Sr 0.750 0.772 0.875
Sr 0.772 0.250 0.125
Cu 0.000 0.000 0.500
Cu 0.000 0.500 0.750
Cu 0.500 0.000 0.250
Cu 0.500 0.500 0.000
S 0.000 0.000 0.000
S 0.000 0.500 0.250
S 0.500 0.000 0.750
S 0.500 0.500 0.500

Results
As for the space group: No. 122. The value obtained for the total DFT energy (no corrections) is -3.6169 eV per atom. The energy relative to the elements, uncorrected comes out at -0.7201 eV per atom. For the density, the calculation gives 3399 kg/m3.